Here is a relaxed Pa2Cd3O8 crystal from Alexandria via LeMat-Bulk. Energies are from GGA-PBE.

extended XYZ file:
```
13
Lattice="5.254 0.050 1.689 1.086 5.917 3.263 -0.007 -0.174 6.841" Properties=species:S:1:pos:R:3 pbc="T T T"
O 4.167 0.721 2.500
Pa 5.182 1.538 4.201
Cd 2.627 0.025 0.845
O 4.218 0.361 5.929
O 2.167 5.071 9.294
O 1.499 1.997 7.882
Pa 1.152 4.254 7.593
O 4.835 3.795 3.911
Cd 0.273 1.386 5.924
O 5.128 3.667 7.808
O 2.116 5.431 5.865
Cd 0.806 4.356 4.180
O 1.206 2.125 3.985
```

Values from the calculation:
Space-group type: C2/m
M_tot in μB per atom: 0.000
Uncorrected formation energy in eV per atom: -2.283

Here is a relaxed CrHgSCl2 crystal from Alexandria via LeMat-Bulk. Energies are from GGA-PBE.

extended XYZ file:
```
5
Lattice="-3.098 2.681 -3.184 -3.896 -3.266 1.039 -1.432 2.940 3.869" Properties=species:S:1:pos:R:3 pbc="T T T"
Cl -1.549 1.341 -1.592
Cr -4.213 1.178 0.862
Hg 0.000 0.000 0.000
S -0.716 1.470 1.935
Cl -1.948 -1.633 0.520
```

Values from the calculation:
Space-group type: P4/mmm
M_tot in μB per atom: 0.869
Energy relative to the lowest polymorph listed for this composition in meV per atom: 709.8
Uncorrected formation energy in eV per atom: 0.364

Here is a relaxed ErPaAsN2 crystal from Alexandria via LeMat-Bulk. Energies are from GGA-PBE.

extended XYZ file:
```
5
Lattice="3.873 0.000 0.000 0.000 3.873 0.000 -1.936 -1.936 6.234" Properties=species:S:1:pos:R:3 pbc="T T T"
N 0.000 1.936 3.061
N 1.936 0.000 3.061
Pa 0.000 0.000 2.063
Er 1.936 1.936 4.242
As 1.936 1.936 0.041
```

Values from the calculation:
Space-group type: I4mm
M_tot in μB per atom: 0.000
Uncorrected formation energy in eV per atom: -1.420

Here is a relaxed LiCuP2 crystal from Alexandria via LeMat-Bulk. Energies are from GGA-PBE.

extended XYZ file:
```
4
Lattice="4.278 0.000 0.000 2.139 3.705 0.000 2.139 1.235 3.493" Properties=species:S:1:pos:R:3 pbc="T T T"
P 0.000 0.000 0.000
Li 2.139 1.235 0.873
Cu 4.278 2.470 1.747
P 6.417 3.705 2.620
```

Values from the calculation:
Space-group type: F-43m
M_tot in μB per atom: 0.000
DFT formation energy in eV/atom: 0.219
Energy relative to the lowest polymorph listed for this composition in meV per atom: 383.2

Here is a relaxed Tb2Ga2Au3 crystal from Alexandria via LeMat-Bulk. Energies are from GGA-PBE.

extended XYZ file:
```
14
Lattice="4.058 0.000 -0.968 0.000 7.244 0.000 0.270 0.000 10.126" Properties=species:S:1:pos:R:3 pbc="T T T"
Tb 4.072 1.811 8.085
Ga 2.905 6.862 3.189
Ga 1.423 3.239 5.969
Au 2.327 0.399 0.766
Ga 2.905 4.005 3.189
Au 3.298 1.811 4.838
Tb 3.615 5.433 6.167
Tb 0.713 1.811 2.992
Au 1.030 5.433 4.321
Au 2.327 3.224 0.766
Ga 1.423 0.383 5.969
Au 2.001 4.021 8.392
Tb 0.256 5.433 1.073
Au 2.001 6.846 8.392
```

Values from the calculation:
Space-group type: Cmcm
M_tot in μB per atom: 0.000
DFT formation energy in eV/atom: -0.685
Energy relative to the lowest polymorph listed for this composition in meV per atom: 18.1

Here is a relaxed HoSc2CdPd4 crystal from Alexandria via LeMat-Bulk. Energies are from GGA-PBE.

extended XYZ file:
```
8
Lattice="-2.450 -1.480 3.764 1.769 -3.382 2.792 3.206 3.770 6.540" Properties=species:S:1:pos:R:3 pbc="T T T"
Pd -0.030 -2.576 4.908
Cd 1.263 -0.546 6.548
Ho 0.000 0.000 0.000
Sc 1.832 -0.916 9.743
Pd 2.556 1.484 8.188
Pd 1.949 1.795 4.945
Sc 0.694 -0.175 3.353
Pd 0.577 -2.887 8.151
```

Values from the calculation:
Space-group type: R-3m
M_tot in μB per atom: 0.000
DFT formation energy in eV/atom: -0.796

Here is a relaxed CaHoNi crystal from Alexandria via LeMat-Bulk. Energies are from GGA-PBE.

extended XYZ file:
```
12
Lattice="4.895 0.000 0.000 0.000 7.161 0.139 -2.447 -0.634 9.842" Properties=species:S:1:pos:R:3 pbc="T T T"
Ca 2.447 5.793 1.831
Ca 2.447 4.557 8.584
Ca 0.000 0.734 8.150
Ho 2.447 2.403 5.858
Ni 0.000 5.634 6.510
Ni 2.447 0.892 3.472
Ho 0.000 4.123 4.123
Ho 0.000 0.660 4.545
Ni 0.000 3.263 6.657
Ca 0.000 1.970 1.398
Ho 2.447 5.867 5.436
Ni 2.447 3.264 3.324
```

Values from the calculation:
Space-group type: C2/m
M_tot in μB per atom: 0.000
DFT formation energy in eV/atom: -0.120
Energy relative to the lowest polymorph listed for this composition in meV per atom: 167.1

Here is a relaxed Ba2Tl2Ag crystal from Alexandria via LeMat-Bulk. Energies are from GGA-PBE.

extended XYZ file:
```
5
Lattice="6.865 0.000 0.000 0.000 6.865 0.000 3.433 3.433 4.355" Properties=species:S:1:pos:R:3 pbc="T T T"
Tl 3.433 3.433 1.417
Tl 6.865 6.865 2.938
Ba 6.865 3.433 2.177
Ba 3.433 6.865 2.177
Ag 0.000 0.000 0.000
```

Values from the calculation:
Space-group type: I4/mmm
M_tot in μB per atom: 0.000
DFT formation energy in eV/atom: -0.079
Energy relative to the lowest polymorph listed for this composition in meV per atom: 234.7

Here is a relaxed TbSc crystal from Alexandria via LeMat-Bulk. Energies are from GGA-PBE.

extended XYZ file:
```
4
Lattice="3.545 0.000 0.000 0.000 5.648 0.122 0.000 -0.601 5.617" Properties=species:S:1:pos:R:3 pbc="T T T"
Tb 1.773 4.306 1.302
Sc 0.000 3.565 4.055
Tb 1.773 0.740 4.437
Sc 0.000 1.481 1.684
```

Values from the calculation:
Space-group type: Cmmm
M_tot in μB per atom: 0.000
DFT formation energy in eV/atom: 0.048
Energy relative to the lowest polymorph listed for this composition in meV per atom: 4.3

Here is a relaxed SiRh2PbC crystal from Alexandria via LeMat-Bulk. Energies are from GGA-PBE.

extended XYZ file:
```
5
Lattice="-2.242 -1.796 3.462 2.600 -2.558 0.357 2.241 2.674 2.839" Properties=species:S:1:pos:R:3 pbc="T T T"
Rh 1.121 1.337 1.419
C 0.000 0.000 0.000
Rh -1.121 -0.898 1.731
Si 1.300 -1.279 0.178
Pb 1.300 -0.840 3.329
```

Values from the calculation:
Space-group type: P4/mmm
M_tot in μB per atom: 0.000
Uncorrected formation energy in eV per atom: 0.453

Here is a relaxed Mg3In4Ga crystal from Alexandria via LeMat-Bulk. Energies are from GGA-PBE.

extended XYZ file:
```
8
Lattice="-4.159 0.502 2.187 0.519 -2.989 1.674 7.031 7.907 6.448" Properties=species:S:1:pos:R:3 pbc="T T T"
Mg 0.260 -1.494 0.837
In 0.519 1.810 5.678
Mg 1.877 3.716 7.822
In 2.872 3.611 4.632
In -0.762 -0.064 3.672
In 4.153 5.485 6.638
Ga -2.080 0.251 1.094
Mg 1.514 1.705 2.488
```

Values from the calculation:
Space-group type: C2/m
M_tot in μB per atom: 0.000
DFT formation energy in eV/atom: -0.018
Energy relative to the lowest polymorph listed for this composition in meV per atom: 46.8

Here is a relaxed Pm5ThPb6 crystal from Alexandria via LeMat-Bulk. Energies are from GGA-PBE.

extended XYZ file:
```
12
Lattice="7.764 0.290 0.000 2.459 7.558 0.000 1.229 3.779 6.919" Properties=species:S:1:pos:R:3 pbc="T T T"
Pm 1.229 3.779 2.310
Pm 5.111 3.924 4.614
Pb 2.557 1.968 0.000
Pb 6.433 2.113 2.310
Pb 7.666 5.879 0.000
Pm 6.341 7.703 2.305
Th 0.000 0.000 0.000
Pm 2.459 7.558 4.608
Pb 7.662 5.892 4.609
Pm 5.111 3.924 0.000
Pb 5.019 9.514 4.609
Pb 3.790 5.735 2.310
```

Values from the calculation:
Space-group type: C2/m
M_tot in μB per atom: 0.000
DFT formation energy in eV/atom: -0.386
Energy relative to the lowest polymorph listed for this composition in meV per atom: 75.3

Here is a relaxed LiFeAs crystal from Alexandria via LeMat-Bulk. Energies are from GGA-PBE.

extended XYZ file:
```
3
Lattice="-1.137 3.840 0.936 -2.787 -2.692 -1.379 -0.529 -0.796 2.624" Properties=species:S:1:pos:R:3 pbc="T T T"
Li -2.590 -1.045 1.142
As -0.088 -0.133 0.439
Fe -1.775 1.530 0.601
```

Values from the calculation:
Space-group type: P-6m2
M_tot in μB per atom: 0.605
DFT formation energy in eV/atom: -0.129

Here is a relaxed Ti7Bi2AsH2 crystal from Alexandria via LeMat-Bulk. Energies are from GGA-PBE.

extended XYZ file:
```
12
Lattice="4.118 -0.003 0.028 0.002 4.118 0.028 2.078 2.076 11.047" Properties=species:S:1:pos:R:3 pbc="T T T"
H 2.045 2.043 2.030
As 0.000 0.000 0.000
Ti 4.176 4.171 6.959
Bi 4.089 4.084 4.086
Ti 2.060 2.058 0.028
Ti 2.092 4.150 9.186
Ti 2.047 4.104 1.918
H 4.154 4.149 9.075
Ti 2.023 2.021 4.145
Ti 4.107 2.042 1.918
Ti 4.152 2.087 9.186
Bi 2.110 2.107 7.019
```

Values from the calculation:
Space-group type: C2/m
M_tot in μB per atom: 0.000

Here is a relaxed Er6Bi3B crystal from Alexandria via LeMat-Bulk. Energies are from GGA-PBE.

extended XYZ file:
```
20
Lattice="-1.775 4.399 4.378 1.209 -5.481 5.999 10.077 3.132 0.831" Properties=species:S:1:pos:R:3 pbc="T T T"
Bi 5.038 1.566 0.416
Er 0.684 -0.844 2.294
Bi 7.497 -0.005 8.496
Er 7.654 2.778 1.447
Bi 2.014 2.055 2.712
Er 7.275 0.939 5.468
Er 1.857 -0.729 9.761
Er 2.235 1.110 5.739
B 0.000 0.000 0.000
B 4.755 1.025 5.604
Er 4.759 -1.252 6.725
Er 0.965 -2.996 6.618
Bi 3.008 -2.238 4.214
Bi -0.283 -0.541 5.188
Er 8.545 5.045 4.590
Er 4.751 3.302 4.482
Bi 6.502 4.288 6.994
Er 4.877 1.853 8.037
Er 8.826 2.893 8.914
Er 4.633 0.196 3.170
```

Values from the calculation:
Space-group type: P2_1/c
M_tot in μB per atom: 0.000
DFT formation energy in eV/atom: -0.498

Here is a relaxed SrZrCu crystal from Alexandria via LeMat-Bulk. Energies are from GGA-PBE.

extended XYZ file:
```
3
Lattice="4.424 0.000 0.000 -2.212 3.831 0.000 0.000 0.000 5.011" Properties=species:S:1:pos:R:3 pbc="T T T"
Zr 0.000 2.554 4.175
Cu 0.000 0.000 4.176
Sr 2.212 1.277 1.670
```

Values from the calculation:
Space-group type: P-6m2
M_tot in μB per atom: 0.000
DFT formation energy in eV/atom: 0.363
Energy relative to the lowest polymorph listed for this composition in meV per atom: 180.5

Here is a relaxed LuHfSc2 crystal from Alexandria via LeMat-Bulk. Energies are from GGA-PBE.

extended XYZ file:
```
4
Lattice="-1.351 -3.266 -1.195 3.043 -0.490 -2.102 3.250 -3.353 5.486" Properties=species:S:1:pos:R:3 pbc="T T T"
Lu 0.846 -1.878 -1.649
Sc 2.344 -2.418 3.956
Sc 0.906 -0.935 1.530
Hf 2.471 -3.554 1.094
```

Values from the calculation:
Space-group type: P4/mmm
M_tot in μB per atom: 0.000
DFT formation energy in eV/atom: 0.148
Energy relative to the lowest polymorph listed for this composition in meV per atom: 49.0

Here is a relaxed PuSnO2 crystal from Alexandria via LeMat-Bulk. Energies are from GGA-PBE.

extended XYZ file:
```
4
Lattice="-2.042 -2.589 0.934 -1.527 -1.926 -2.389 4.912 -6.323 -0.500" Properties=species:S:1:pos:R:3 pbc="T T T"
Sn 0.672 -5.419 -0.977
Pu 0.000 0.000 0.000
O -2.079 -5.692 -1.458
O 3.422 -5.146 -0.496
```

Values from the calculation:
Space-group type: R-3m
M_tot in μB per atom: 1.105
Uncorrected formation energy in eV per atom: -1.258

Record-wise density of states at the Fermi level values, in states/eV per atom: 0.000, 1.068, 0.769, 0.616, 0.532, 0.711, 0.751, 0.805, 1.945, 0.437, 0.399, 0.901, 0.608, 0.876, 0.744, 0.512, 1.966, 1.182
Record-wise V values, in Å³/cell: 215.0, 136.4, 93.5, 55.4, 299.6, 149.8, 345.4, 205.3, 112.7, 74.1, 194.4, 401.0, 40.9, 186.9, 561.3, 84.9, 100.3, 79.1
Record-wise energy values, in eV for the cell shown: -91.09, -15.93, -42.46, -15.96, -59.88, -45.30, -50.88, -11.82, -21.73, -30.79, -18.91, -58.06, -15.41, -78.87, -101.35, -13.24, -26.54, -33.28